## Cr2HgB (PBE)

Data for crystalline Cr2HgB at its relaxed geometry.

a = 7.989 Å, b = 7.989 Å, c = 7.989 Å
α = 150.63°, β = 150.63°, γ = 42.01°
Element x y z (fractional)
Cr1 0.375 0.198 0.323
Cr2 0.802 0.125 0.177
Cr3 0.875 0.052 0.677
Cr4 0.948 0.625 0.823
Hg1 0.250 0.750 0.500
Hg2 0.500 0.500 0.000
B1 0.000 0.000 0.000
B2 0.750 0.250 0.500

Results
Mass density: 8.6 g cm⁻³
Formation energy: 1095.5 meV per atom